Record 1
The following is a DFT calculation (PBE-GGA) of LiPr3Ag3 after structural relaxation. Values from VASP.

For the formation energy, the calculation gives -0.18 eV per atom. The total DFT energy (no corrections) comes out at -3.720 eV/atom.

Structure (Quantum ESPRESSO input):
```
&SYSTEM
  ibrav = 0, nat = 7, ntyp = 3
/
ATOMIC_SPECIES
Pr 140.91 Pr.upf
Ag 107.87 Ag.upf
Li 6.94 Li.upf
CELL_PARAMETERS angstrom
-3.508 -0.140 3.306
0.157 -3.697 0.010
8.647 2.235 5.754
ATOMIC_POSITIONS crystal
Pr 0.005 0.005 0.010
Pr 0.305 0.805 0.610
Pr 0.691 0.191 0.382
Ag 0.865 0.365 0.731
Ag 0.561 0.561 0.122
Ag 0.140 0.640 0.280
Li 0.433 0.433 0.867
```

Record 2
The following is a DFT calculation (PBE-GGA) of MgNi4Ag after structural relaxation. Values from VASP.

For the formation energy, the calculation gives -0.06 eV per atom. The total DFT energy (no corrections) comes out at -4.655 eV/atom.

Structure (Quantum ESPRESSO input):
```
&SYSTEM
  ibrav = 0, nat = 6, ntyp = 3
/
ATOMIC_SPECIES
Ag 107.87 Ag.upf
Ni 58.69 Ni.upf
Mg 24.30 Mg.upf
CELL_PARAMETERS angstrom
-0.988 -3.181 3.475
-3.295 1.042 3.352
-4.225 -2.307 0.021
ATOMIC_POSITIONS crystal
Ag 0.750 0.750 0.750
Ni 0.375 0.875 0.375
Ni 0.375 0.375 0.875
Ni 0.375 0.375 0.375
Ni 0.875 0.375 0.375
Mg 0.000 0.000 0.000
```

Record 3
The following is a DFT calculation (PBE-GGA) of TlAgHPd2 after structural relaxation. Values from VASP.

Its excess energy over the best structure of this formula in the dataset is 143 meV per atom. The total DFT energy (no corrections) comes out at -3.726 eV/atom.

Structure (Quantum ESPRESSO input):
```
&SYSTEM
  ibrav = 0, nat = 5, ntyp = 4
/
ATOMIC_SPECIES
Tl 204.38 Tl.upf
Pd 106.42 Pd.upf
H 1.01 H.upf
Ag 107.87 Ag.upf
CELL_PARAMETERS angstrom
4.060 0.000 0.000
0.000 4.060 0.000
0.000 0.000 4.607
ATOMIC_POSITIONS crystal
Tl 0.000 0.000 0.500
Pd 0.500 0.000 0.000
Pd 0.000 0.500 0.000
H 0.000 0.000 0.000
Ag 0.500 0.500 0.500
```

Record 4
The following is a DFT calculation (PBE-GGA) of CaTb3Dy2Y6 after structural relaxation. Values from VASP.

For the formation energy, the calculation gives 0.05 eV per atom. The total DFT energy (no corrections) comes out at -5.270 eV/atom.

Structure (Quantum ESPRESSO input):
```
&SYSTEM
  ibrav = 0, nat = 12, ntyp = 4
/
ATOMIC_SPECIES
Ca 40.08 Ca.upf
Dy 162.50 Dy.upf
Y 88.91 Y.upf
Tb 158.93 Tb.upf
CELL_PARAMETERS angstrom
6.212 0.000 0.007
-3.105 5.381 0.007
-1.047 -1.813 11.692
ATOMIC_POSITIONS crystal
Ca 0.000 0.000 0.000
Dy 0.667 0.333 0.000
Dy 0.333 0.667 0.000
Y 0.576 0.915 0.747
Y 0.915 0.576 0.747
Y 0.254 0.254 0.747
Y 0.085 0.424 0.253
Y 0.746 0.746 0.253
Y 0.424 0.085 0.253
Tb 0.834 0.166 0.500
Tb 0.500 0.500 0.500
Tb 0.166 0.834 0.500
```

Record 5
The following is a DFT calculation (PBE-GGA) of LaTiCu after structural relaxation. Values from VASP.

For the formation energy, the calculation gives 0.20 eV per atom. Its excess energy over the best structure of this formula in the dataset is 185 meV per atom. The total DFT energy (no corrections) comes out at -5.442 eV/atom.

Structure (Quantum ESPRESSO input):
```
&SYSTEM
  ibrav = 0, nat = 12, ntyp = 3
/
ATOMIC_SPECIES
Cu 63.55 Cu.upf
La 138.91 La.upf
Ti 47.87 Ti.upf
CELL_PARAMETERS angstrom
-2.189 6.424 2.784
-4.204 -4.410 6.870
3.539 0.209 2.300
ATOMIC_POSITIONS crystal
Cu 0.666 0.250 0.000
Cu 0.166 0.250 0.500
Cu 0.834 0.750 0.500
Cu 0.334 0.750 0.000
La 0.000 0.500 0.000
La 0.000 0.000 0.000
La 0.500 0.000 0.500
La 0.500 0.500 0.500
Ti 0.333 0.250 0.000
Ti 0.667 0.750 0.000
Ti 0.167 0.750 0.500
Ti 0.833 0.250 0.500
```

Record 6
The following is a DFT calculation (PBE-GGA) of Ac2TbAu2 after structural relaxation. Values from VASP.

For the formation energy, the calculation gives -0.64 eV per atom. The total DFT energy (no corrections) comes out at -4.520 eV/atom.

Structure (Quantum ESPRESSO input):
```
&SYSTEM
  ibrav = 0, nat = 5, ntyp = 3
/
ATOMIC_SPECIES
Au 196.97 Au.upf
Ac 227.00 Ac.upf
Tb 158.93 Tb.upf
CELL_PARAMETERS angstrom
4.159 0.000 0.000
2.079 6.352 0.282
2.079 1.973 6.045
ATOMIC_POSITIONS crystal
Au 0.500 0.713 0.287
Au 0.500 0.287 0.713
Ac 0.802 0.698 0.698
Ac 0.198 0.302 0.302
Tb 0.000 0.000 0.000
```

Record 7
The following is a DFT calculation (PBE-GGA) of PdCCl2 after structural relaxation. Values from VASP.

The value obtained for the uncorrected formation energy is 1632 meV/atom. Its excess energy over the best structure of this formula in the dataset is 335 meV per atom. The total DFT energy (no corrections) comes out at -2.895 eV/atom.

Structure (Quantum ESPRESSO input):
```
&SYSTEM
  ibrav = 0, nat = 4, ntyp = 3
/
ATOMIC_SPECIES
C 12.01 C.upf
Cl 35.45 Cl.upf
Pd 106.42 Pd.upf
CELL_PARAMETERS angstrom
0.000 3.144 3.144
3.144 0.000 3.144
3.144 3.144 0.000
ATOMIC_POSITIONS crystal
C 0.000 0.000 0.000
Cl 0.250 0.250 0.250
Cl 0.750 0.750 0.750
Pd 0.500 0.500 0.500
```

Record 8
The following is a DFT calculation (PBE-GGA) of K3Dy3TeS8 after structural relaxation. Values from VASP.

The value obtained for the uncorrected formation energy is -1510 meV/atom. The total DFT energy (no corrections) comes out at -5.061 eV/atom.

Structure (Quantum ESPRESSO input):
```
&SYSTEM
  ibrav = 0, nat = 15, ntyp = 4
/
ATOMIC_SPECIES
Te 127.60 Te.upf
S 32.06 S.upf
K 39.10 K.upf
Dy 162.50 Dy.upf
CELL_PARAMETERS angstrom
8.020 0.000 0.000
-4.010 6.946 -0.028
0.000 -4.604 7.502
ATOMIC_POSITIONS crystal
Te 0.000 0.000 0.500
S 0.772 0.544 0.304
S 0.228 0.968 0.696
S 0.733 0.467 0.700
S 0.772 0.032 0.304
S 0.260 0.032 0.304
S 0.740 0.968 0.696
S 0.228 0.456 0.696
S 0.267 0.533 0.300
K 0.000 0.500 0.000
K 0.500 0.500 0.000
K 0.000 0.000 0.000
Dy 0.000 0.500 0.500
Dy 0.500 0.000 0.500
Dy 0.500 0.500 0.500
```

Record 9
The following is a DFT calculation (PBE-GGA) of PmCuTcSb after structural relaxation. Values from VASP.

The value obtained for the uncorrected formation energy is 33 meV/atom. The total DFT energy (no corrections) comes out at -5.801 eV/atom.

Structure (Quantum ESPRESSO input):
```
&SYSTEM
  ibrav = 0, nat = 4, ntyp = 4
/
ATOMIC_SPECIES
Sb 121.76 Sb.upf
Pm 145.00 Pm.upf
Cu 63.55 Cu.upf
Tc 98.00 Tc.upf
CELL_PARAMETERS angstrom
4.772 0.000 0.000
2.386 4.133 0.000
2.386 1.378 3.897
ATOMIC_POSITIONS crystal
Sb 0.000 0.000 0.000
Pm 0.500 0.500 0.500
Cu 0.250 0.250 0.250
Tc 0.750 0.750 0.750
```

Record 10
The following is a DFT calculation (PBE-GGA) of YZr3Re after structural relaxation. Values from VASP.

For the formation energy, the calculation gives 0.34 eV per atom. Its excess energy over the best structure of this formula in the dataset is 0 meV per atom. The total DFT energy (no corrections) comes out at -8.569 eV/atom.

Structure (Quantum ESPRESSO input):
```
&SYSTEM
  ibrav = 0, nat = 5, ntyp = 3
/
ATOMIC_SPECIES
Re 186.21 Re.upf
Y 88.91 Y.upf
Zr 91.22 Zr.upf
CELL_PARAMETERS angstrom
5.133 0.000 0.000
0.000 5.133 0.000
0.000 0.000 5.133
ATOMIC_POSITIONS crystal
Re 0.000 0.000 0.000
Y 0.500 0.500 0.500
Zr 0.000 0.000 0.500
Zr 0.000 0.500 0.000
Zr 0.500 0.000 0.000
```

Record 11
The following is a DFT calculation (PBE-GGA) of Pm6Te3PSe2 after structural relaxation. Values from VASP.

The value obtained for the uncorrected formation energy is -1637 meV/atom. The total DFT energy (no corrections) comes out at -5.830 eV/atom.

Structure (Quantum ESPRESSO input):
```
&SYSTEM
  ibrav = 0, nat = 12, ntyp = 4
/
ATOMIC_SPECIES
Pm 145.00 Pm.upf
Te 127.60 Te.upf
Se 78.96 Se.upf
P 30.97 P.upf
CELL_PARAMETERS angstrom
-0.068 2.321 7.044
5.408 -4.488 -2.371
2.176 6.460 -3.407
ATOMIC_POSITIONS crystal
Pm 0.755 0.755 0.217
Pm 0.929 0.610 0.785
Pm 0.071 0.390 0.215
Pm 0.245 0.245 0.783
Pm 0.610 0.929 0.785
Pm 0.390 0.071 0.215
Te 0.170 0.830 0.500
Te 0.500 0.500 0.500
Te 0.830 0.170 0.500
Se 0.666 0.334 0.000
Se 0.334 0.666 0.000
P 0.000 0.000 0.000
```

Record 12
The following is a DFT calculation (PBE-GGA) of CuTc2Ag after structural relaxation. Values from VASP.

For the formation energy, the calculation gives 0.33 eV per atom. Its excess energy over the best structure of this formula in the dataset is 61 meV per atom. The total DFT energy (no corrections) comes out at -6.591 eV/atom.

Structure (Quantum ESPRESSO input):
```
&SYSTEM
  ibrav = 0, nat = 4, ntyp = 3
/
ATOMIC_SPECIES
Cu 63.55 Cu.upf
Ag 107.87 Ag.upf
Tc 98.00 Tc.upf
CELL_PARAMETERS angstrom
2.745 0.000 0.000
0.000 3.847 0.000
0.000 0.000 5.648
ATOMIC_POSITIONS crystal
Cu 0.500 0.500 0.752
Ag 0.000 0.000 0.517
Tc 0.500 0.500 0.217
Tc 0.000 0.000 0.013
```